This record from the Alexandria database describes a PBEsol-optimized structure of TiGa3Pb. The functional is meta-GGA SCAN.

POSCAR file:
```
TiGa3Pb
1.0
5.2352 0.0000 0.0000
0.0000 5.2352 0.0000
0.0000 0.0000 5.2352
Ti Ga Pb
1 3 1
Direct
0.0000 0.0000 0.0000 Ti
0.0000 0.5000 0.5000 Ga
0.5000 0.0000 0.5000 Ga
0.5000 0.5000 0.0000 Ga
0.5000 0.5000 0.5000 Pb
```

Energy (eV per cell): -135.53
ΔH_f (0 K) (eV/f.u.): 5.3
Total magnetic moment (μB per atom): 0.529